(1)
The following is a GGA-PBEsol calculation of a relaxed structure of TiCoOs3, from Alexandria.

Cell and atoms, written as CIF:
```
data_TiCoOs3
_chemical_formula_sum 'Ti1 Co1 Os3'
_cell_length_a 4.441
_cell_length_b 4.441
_cell_length_c 4.441
_cell_angle_alpha 90.00
_cell_angle_beta 90.00
_cell_angle_gamma 90.00
_space_group_name_H-M_alt 'P m -3 m'
_space_group_IT_number 221
_space_group_name_Hall '-P 4 2 3'
loop_
_atom_site_label
_atom_site_type_symbol
_atom_site_fract_x
_atom_site_fract_y
_atom_site_fract_z
Ti1 Ti 0.000 0.000 0.000
Co1 Co 0.500 0.500 0.500
Os1 Os 0.000 0.000 0.500
```



(2)
# Tl2CoOs, relaxed, DFT GGA-PBEsol
data_Tl2CoOs
_chemical_formula_sum 'Tl2 Co1 Os1'
_cell_length_a 2.915
_cell_length_b 2.915
_cell_length_c 8.672
_cell_angle_alpha 90.00
_cell_angle_beta 90.00
_cell_angle_gamma 90.00
_space_group_name_H-M_alt 'P 4 m m'
_space_group_IT_number 99
_space_group_name_Hall 'P 4 -2'
loop_
_atom_site_label
_atom_site_type_symbol
_atom_site_fract_x
_atom_site_fract_y
_atom_site_fract_z
Tl1 Tl 0.000 0.000 0.000
Tl2 Tl 0.500 0.500 0.347
Co1 Co 0.000 0.000 0.589
Os1 Os 0.500 0.500 0.740
# E above lowest polymorph in meV/atom: 0



(3)
# TlCo2Os, relaxed, DFT GGA-PBEsol
data_TlCo2Os
_chemical_formula_sum 'Tl2 Co4 Os2'
_cell_length_a 8.629
_cell_length_b 2.759
_cell_length_c 4.718
_cell_angle_alpha 90.00
_cell_angle_beta 100.79
_cell_angle_gamma 90.00
_space_group_name_H-M_alt 'C 1 m 1'
_space_group_IT_number 8
_space_group_name_Hall 'C -2y'
loop_
_atom_site_label
_atom_site_type_symbol
_atom_site_fract_x
_atom_site_fract_y
_atom_site_fract_z
Tl1 Tl 0.000 0.000 0.000
Co1 Co 0.003 0.500 0.506
Co2 Co 0.242 0.000 0.755
Os1 Os 0.266 0.500 0.339
# E above lowest polymorph in meV/atom: 0



For reference, energy of formation by record: 11.0 2.3 2.3 eV per formula unit.